## YErGa2Pd2 (PBE)

Data for a relaxed structure of YErGa2Pd2.

a = 4.4888 Å, b = 4.4888 Å, c = 6.8486 Å
α = 90.00°, β = 90.00°, γ = 120.00°
Last column: nearest neighbours and their distance in Å.
Element x y z (fractional)
Er1 0.0000 0.0000 0.5000  6 Pd 3.07, 6 Ga 3.08, 2 Y 3.42
Pd1 0.3333 0.6667 0.2602  3 Ga 2.59
Y1 0.0000 0.0000 0.0000  6 Ga 3.13, 6 Pd 3.15, 2 Er 3.42
Ga1 0.3333 0.6667 0.7434  3 Pd 2.59
Ga2 0.6667 0.3333 0.2566  3 Pd 2.59
Pd2 0.6667 0.3333 0.7398  3 Ga 2.59

Total moment: 0.000 Bohr magnetons per cell
DOS at the Fermi energy: 4.551 states/eV/cell


## Hg4TeP (PBE)

Data for a relaxed structure of Hg4TeP.

a = 5.9812 Å, b = 5.9812 Å, c = 5.9812 Å
α = 60.00°, β = 60.00°, γ = 60.00°
Last column: nearest neighbours and their distance in Å.
Element x y z (fractional)
Hg1 0.3754 0.8738 0.3754  6 Hg 2.98-3.00
Hg2 0.3754 0.3754 0.3754  6 Hg 2.98-3.00
P1 0.7500 0.7500 0.7500  12 Hg 3.51, 4 Te 3.66
Hg3 0.8738 0.3754 0.3754  6 Hg 2.98-3.00
Hg4 0.3754 0.3754 0.8738  6 Hg 2.98-3.00
Te1 0.0000 0.0000 0.0000  12 Hg 3.51, 4 P 3.66

Total moment: 0.000 Bohr magnetons per cell
DOS at the Fermi energy: 7.482 states/eV/cell


Quick rundown of total energy, same order as above: -5.4436; -1.0099 eV/atom